An optimized crystal structure of SrCdGa2Re. Source: Alexandria via LeMat-Bulk, functional GGA-PBE.

## Properties
**Calculated volume**: 189 Å³/cell
**Electronic total energy**: -11.13 eV per cell
**Space-group type**: P4/mmm (123)

Lattice parameters (Å, degrees): 5.6773 5.6773 5.8665 90.00 90.00 90.00
With the nearest neighbours (Å) after each atom.
Fractional positions:
Re 0.5000 0.5000 0.5000  4 Cd 4.01, 8 Ga 4.08
Ga 0.0000 0.5000 0.0000  2 Sr 2.84
Ga 0.5000 0.0000 0.0000  2 Sr 2.84
Sr 0.0000 0.0000 0.0000  4 Ga 2.84, 2 Cd 2.93
Cd 0.0000 0.0000 0.5000  2 Sr 2.93

---

An optimized crystal structure of Ta2CdGaRe. Source: Alexandria via LeMat-Bulk, functional GGA-PBE.

## Properties
**Calculated volume**: 110 Å³/cell
**Electronic total energy**: -28.89 eV per cell
**Space-group type**: P4/mmm (123)

Lattice parameters (Å, degrees): 4.9904 4.4120 4.9904 90.00 90.00 90.00
With the nearest neighbours (Å) after each atom.
Fractional positions:
Re 0.5000 0.5000 0.5000  8 Ta 3.33, 4 Ga 3.53
Cd 0.0000 0.0000 0.0000  2 Ga 2.21
Ga 0.0000 0.5000 0.0000  2 Cd 2.21
Ta 0.0000 0.0000 0.5000  2 Cd 2.50
Ta 0.5000 0.0000 0.0000  2 Cd 2.50

---

An optimized crystal structure of CdGaRe2Te. Source: Alexandria via LeMat-Bulk, functional GGA-PBE.

## Properties
**Calculated volume**: 115 Å³/cell
**Uncorrected formation energy**: 1.776 eV/atom
**Space-group type**: P4/mmm (123)

Lattice parameters (Å, degrees): 4.7320 5.1204 4.7320 90.00 90.00 90.00
With the nearest neighbours (Å) after each atom.
Fractional positions:
Re 0.0000 0.0000 0.5000  2 Ga 2.37
Re 0.5000 0.0000 0.0000  2 Ga 2.37
Te 0.0000 0.5000 0.0000  2 Ga 2.56
Ga 0.0000 0.0000 0.0000  4 Re 2.37, 2 Te 2.56
Cd 0.5000 0.5000 0.5000  4 Te 3.35, 8 Re 3.49

---

An optimized crystal structure of TiCdGa2Re. Source: Alexandria via LeMat-Bulk, functional GGA-PBE.

## Properties
**Calculated volume**: 114 Å³/cell
**Electronic total energy**: -22.53 eV per cell
**Space-group type**: P4/mmm (123)

Lattice parameters (Å, degrees): 4.9764 4.6154 4.9764 90.00 90.00 90.00
With the nearest neighbours (Å) after each atom.
Fractional positions:
Re 0.0000 0.5000 0.0000  2 Ti 2.31
Ti 0.0000 0.0000 0.0000  2 Re 2.31, 4 Ga 2.49
Ga 0.0000 0.0000 0.5000  2 Ti 2.49
Ga 0.5000 0.0000 0.0000  2 Ti 2.49
Cd 0.5000 0.5000 0.5000  8 Ga 3.39, 4 Re 3.52